DFT (PBE-GGA) results for a relaxed Tb5SmHoTm2 crystal.

Cell and atoms, written as POSCAR:
```
Tb5SmHoTm2
1.0
-3.317 3.264 3.094
-6.315 -6.198 -5.279
0.369 -7.036 7.819
Tb Sm Ho Tm
10 2 2 4
direct
0.388 0.776 0.023
0.719 0.438 0.812
0.479 0.958 0.739
0.299 0.597 0.708
0.982 0.965 0.523
0.612 0.224 0.523
0.281 0.562 0.312
0.521 0.042 0.239
0.701 0.403 0.208
0.018 0.035 0.023
0.586 0.171 0.953
0.414 0.829 0.453
0.801 0.602 0.512
0.199 0.398 0.012
0.886 0.772 0.818
0.111 0.222 0.737
0.114 0.228 0.318
0.889 0.778 0.237
```

Properties
total magnetic moment: 0.00 μB/cell
E_form: 0.159 eV/atom
DOS(E_F): 29.303 states/eV/cell